1.
Density functional theory data (GGA-PBE) for a relaxed structure of Dy3Ho4TmS8.

Cell lengths 7.7750, 7.7742, 7.7745 Å; angles 120.00, 120.00, 90.00 degrees
Closest atoms and distances in Å follow each position.
Fractional positions:
Dy (0.5000, 0.5000, 0.0000)  6 S 2.76
Dy (0.5000, 0.5000, 0.5000)  6 S 2.76
Dy (0.0000, 0.5000, 0.5000)  6 S 2.76
Ho (0.5000, 0.0000, 0.0000)  6 S 2.77
Ho (0.5000, 0.0000, 0.5000)  6 S 2.74
Ho (0.0000, 0.0000, 0.0000)  6 S 2.74
Ho (0.0000, 0.0000, 0.5000)  6 S 2.74
Tm (0.0000, 0.5000, 0.0000)  6 S 2.73
S (0.2484, 0.7499, 0.0014)  1 Tm 2.73, 3 Ho 2.74-2.77, 2 Dy 2.76
S (0.2485, 0.7499, 0.4969)  1 Tm 2.73, 3 Ho 2.74-2.77, 2 Dy 2.76
S (0.2493, 0.2478, 0.4985)  3 Ho 2.74, 3 Dy 2.76
S (0.7530, 0.7499, 0.0014)  1 Tm 2.73, 3 Ho 2.74-2.77, 2 Dy 2.76
S (0.2470, 0.2501, 0.9986)  1 Tm 2.73, 3 Ho 2.74-2.77, 2 Dy 2.76
S (0.7507, 0.7522, 0.5015)  3 Ho 2.74, 3 Dy 2.76
S (0.7515, 0.2501, 0.5031)  1 Tm 2.73, 3 Ho 2.74-2.77, 2 Dy 2.76
S (0.7516, 0.2501, 0.9986)  1 Tm 2.73, 3 Ho 2.74-2.77, 2 Dy 2.76

space-group type = R-3m
calculated density = 7.86 g/cm³
DFT total energy = -6.3214 eV/atom
formation energy without anion corrections = -1.971 eV/atom


2.
Density functional theory data (GGA-PBE) for a relaxed structure of ZrVH4.

Cell lengths 5.2484, 5.6809, 4.9708 Å; angles 108.17, 104.30, 119.45 degrees
Closest atoms and distances in Å follow each position.
Fractional positions:
Zr (0.3824, 0.6324, 0.2648)  8 H 2.03-2.27
Zr (0.6176, 0.3676, 0.7352)  8 H 2.03-2.27
V (0.2681, 0.0181, 0.0363)  6 H 1.75-1.92
V (0.7319, 0.9819, 0.9637)  6 H 1.75-1.92
H (0.9346, 0.2651, 0.8617)  1 V 1.75
H (0.8242, 0.7785, 0.6918)  2 V 1.82-1.92
H (0.4272, 0.5966, 0.8617)  1 V 1.75
H (0.3676, 0.9133, 0.6918)  2 V 1.82-1.92
H (0.6324, 0.0867, 0.3082)  2 V 1.82-1.92
H (0.5728, 0.4034, 0.1383)  1 V 1.75
H (0.1758, 0.2215, 0.3082)  2 V 1.82-1.92
H (0.0654, 0.7349, 0.1383)  1 V 1.75

space-group type = C2/c
calculated density = 4.52 g/cm³
DFT total energy = -5.3861 eV/atom


Question: The lowest calculated density belongs to which entry?
Answer: ZrVH4


Question: The lowest DFT total energy belongs to which entry?
Answer: Dy3Ho4TmS8


Question: Which formula does entry 2 have?
Answer: ZrVH4